Entry 1:
Dy2Tm2Co | the Open Quantum Materials Database | GGA-PBE | optimized geometry; VASP energy = -5.093 eV/atom; SG = C2/m (12); ΔH_f (0 K) = -0.04 eV per atom
1.0
5.743 -2.348 0.000
5.743 2.348 0.000
-4.466 0.000 9.607
Dy Tm Co
4 4 2
Direct
0.010 0.010 0.163
0.376 0.376 0.306
0.624 0.624 0.694
0.990 0.990 0.837
0.148 0.148 0.484
0.323 0.323 0.922
0.677 0.677 0.078
0.852 0.852 0.516
0.386 0.386 0.682
0.614 0.614 0.318


Entry 2:
GdCd6Ge6 | the Open Quantum Materials Database | GGA-PBE | optimized geometry; VASP energy = -2.767 eV/atom; SG = Cmmm (65)
1.0
2.998 -5.201 0.000
2.998 5.201 0.000
0.000 0.000 9.305
Gd Cd Ge
1 6 6
Direct
0.000 0.000 0.000
0.000 0.500 0.247
0.000 0.500 0.753
0.500 0.000 0.247
0.500 0.000 0.753
0.500 0.500 0.247
0.500 0.500 0.753
0.000 0.000 0.354
0.000 0.000 0.646
0.333 0.667 0.000
0.334 0.666 0.500
0.666 0.334 0.500
0.667 0.333 0.000


Entry 3:
Tb2GaNi2 | the Open Quantum Materials Database | GGA-PBE | optimized geometry; VASP energy = -5.253 eV/atom; SG = Immm (71)
1.0
-2.098 2.692 4.156
2.098 -2.692 4.156
2.098 2.692 -4.156
Tb Ga Ni
2 1 2
Direct
0.202 0.202 0.000
0.798 0.798 0.000
0.500 0.000 0.500
0.232 0.500 0.732
0.768 0.500 0.268


Entry 4:
LaHoSe2 | the Open Quantum Materials Database | GGA-PBE | optimized geometry; VASP energy = -5.988 eV/atom; SG = R-3m (166)
1.0
2.070 1.195 6.943
-2.070 1.195 6.943
0.000 -2.391 6.943
La Ho Se
1 1 2
Direct
0.000 0.000 0.000
0.500 0.500 0.500
0.243 0.243 0.243
0.757 0.757 0.757


Entry 5:
ZnGa2Au | the Open Quantum Materials Database | GGA-PBE | optimized geometry; VASP energy = -2.658 eV/atom; SG = F-43m (216)
1.0
0.000 3.290 3.290
3.290 0.000 3.290
3.290 3.290 0.000
Zn Ga Au
1 2 1
Direct
0.000 0.000 0.000
0.500 0.500 0.500
0.750 0.750 0.750
0.250 0.250 0.250


Entry 6:
K2AgBrCl3 | the Open Quantum Materials Database | GGA-PBE | optimized geometry; VASP energy = -2.989 eV/atom; SG = Amm2 (38)
1.0
4.161 0.000 0.000
0.000 5.233 5.031
0.000 -5.233 5.031
K Ag Br Cl
2 1 1 3
Direct
0.000 0.239 0.761
0.000 0.761 0.239
0.500 0.748 0.748
0.500 0.491 0.491
0.500 0.513 0.984
0.500 0.984 0.513
0.500 0.994 0.994